Entry from the Alexandria database: a geometry-optimized Pr5ErAl2 structure (PBE-GGA).

abc: 5.4642 5.4642 20.1821
angles: 90.00 90.00 120.00
Last column: nearest neighbours and their distance in Å.
Space group P6_3/mmc (No. 194)
One atom of each set of equivalent atoms:
Pr: 0.0000 0.0000 0.1548 x4  3 Al 3.33, 3 Pr 3.69, 3 Er 3.69
Pr: 0.3333 0.6667 0.0544 x4  4 Al 3.16-3.30
Pr: 0.3333 0.6667 0.2500 x2  3 Er 3.15
Er: 0.3333 0.6667 0.7500 x2  2 Al 2.98, 3 Pr 3.15
Al: 0.3333 0.6667 0.6022 x4  1 Er 2.98, 7 Pr 3.16-3.33

- Raw total energy: -72.43 eV for the cell shown
- Formation enthalpy at 0 K: -0.03 eV/atom
- Volume: 32.62 A^3/atom
- ρ: 5.892 g/cm3
- Fermi-level density of states: 25.17 states/eV/cell

***

Entry from the Alexandria database: a geometry-optimized Pr14ErAl structure (PBE-GGA).

abc: 10.3260 10.3062 10.3067
angles: 90.00 90.00 90.00
Last column: nearest neighbours and their distance in Å.
Space group Amm2 (No. 38)
One atom of each set of equivalent atoms:
Pr: 0.0000 0.0000 0.9999 x2  12 Pr 3.64-3.75
Pr: 0.0000 0.0000 0.5000 x2  12 Pr 3.64-3.68
Pr: 0.0000 0.2505 0.2500 x4  12 Pr 3.64-3.71
Pr: 0.2584 0.0000 0.2553 x4  1 Al 3.55, 10 Pr 3.57-3.75, 1 Er 3.62
Pr: 0.2590 0.2449 0.5001 x8  1 Al 3.54, 10 Pr 3.57-3.75, 1 Er 3.62
Pr: 0.2596 0.0000 0.7448 x4  1 Al 3.54, 10 Pr 3.57-3.75, 1 Er 3.62
Pr: 0.5000 0.2493 0.2504 x4  8 Pr 3.58, 2 Al 3.63-3.65, 2 Er 3.64-3.65
Er: 0.5000 0.0000 0.0002 x2  12 Pr 3.62-3.65
Al: 0.5000 0.0000 0.4997 x2  12 Pr 3.54-3.65

- Raw total energy: -150.73 eV for the cell shown
- Formation enthalpy at 0 K: -0.01 eV/atom
- Volume: 34.28 A^3/atom
- ρ: 6.561 g/cm3
- Fermi-level density of states: 41.27 states/eV/cell

***

Entry from the Alexandria database: a geometry-optimized PrEr2Al6 structure (PBE-GGA).

abc: 4.4086 7.2223 13.3949
angles: 90.00 90.00 90.00
Last column: nearest neighbours and their distance in Å.
Space group Immm (No. 71)
One atom of each set of equivalent atoms:
Pr: 0.0000 0.0000 0.0000 x2  4 Al 3.19
Er: 0.0000 0.5000 0.1237 x4  10 Al 2.91-3.22
Al: 0.0000 0.1816 0.5000 x4  3 Al 2.62-2.65
Al: 0.0000 0.3036 0.3135 x8  4 Al 2.65-2.89, 1 Er 2.91

- Energy above the lowest structure with this stoichiometry: 204.0 meV/atom
- Raw total energy: -77.50 eV for the cell shown
- Formation enthalpy at 0 K: -0.27 eV/atom
- Volume: 23.69 A^3/atom
- ρ: 4.963 g/cm3
- Fermi-level density of states: 9.67 states/eV/cell

***

Entry from the Alexandria database: a geometry-optimized PrEr2Al structure (PBE-GGA).

abc: 7.6137 7.6137 7.6137
angles: 90.00 90.00 90.00
Last column: nearest neighbours and their distance in Å.
Space group Fm-3m (No. 225)
One atom of each set of equivalent atoms:
Pr: 0.0000 0.0000 0.0000 x4  8 Er 3.30
Er: 0.2500 0.2500 0.2500 x8  4 Pr 3.30, 4 Al 3.30
Al: 0.0000 0.0000 0.5000 x4  8 Er 3.30

- Energy above the lowest structure with this stoichiometry: 219.1 meV/atom
- Raw total energy: -70.26 eV for the cell shown
- Formation enthalpy at 0 K: 0.02 eV/atom
- Volume: 27.58 A^3/atom
- ρ: 7.561 g/cm3
- Fermi-level density of states: 24.90 states/eV/cell

***

Entry from the Alexandria database: a geometry-optimized PrEr4Al structure (PBE-GGA).

abc: 3.5459 3.5459 13.9134
angles: 90.00 90.00 90.00
Last column: nearest neighbours and their distance in Å.
Space group P4/mmm (No. 123)
One atom of each set of equivalent atoms:
Pr: 0.0000 0.0000 0.0000 x1  4 Pr 3.55, 8 Er 3.60
Er: 0.0000 0.0000 0.3669 x2  4 Al 3.12
Er: 0.5000 0.5000 0.1854 x2  8 Er 3.55-3.56, 4 Pr 3.60
Al: 0.5000 0.5000 0.5000 x1  8 Er 3.12

- Energy above the lowest structure with this stoichiometry: 0.0 meV/atom
- Raw total energy: -27.47 eV for the cell shown
- Formation enthalpy at 0 K: -0.12 eV/atom
- Volume: 29.16 A^3/atom
- ρ: 7.944 g/cm3
- Fermi-level density of states: 7.14 states/eV/cell

***

Entry from the Alexandria database: a geometry-optimized PrEr2Al structure (PBE-GGA).

abc: 3.4616 3.4616 34.3679
angles: 90.00 90.00 120.00
Last column: nearest neighbours and their distance in Å.
Space group R-3m (No. 166, hexagonal axes)
One atom of each set of equivalent atoms:
Pr: 0.0000 0.0000 0.0000 x3  6 Pr 3.46, 2 Er 3.48
Er: 0.0000 0.0000 0.1012 x6  3 Al 3.01
Al: 0.0000 0.0000 0.5000 x3  6 Er 3.01

- Energy above the lowest structure with this stoichiometry: 270.5 meV/atom
- Raw total energy: -52.08 eV for the cell shown
- Formation enthalpy at 0 K: 0.07 eV/atom
- Volume: 29.72 A^3/atom
- ρ: 7.017 g/cm3
- Fermi-level density of states: 17.76 states/eV/cell

***

Entry from the Alexandria database: a geometry-optimized PrEr4Al2 structure (PBE-GGA).

abc: 5.3040 5.3040 23.3446
angles: 90.00 90.00 120.00
Last column: nearest neighbours and their distance in Å.
Space group R-3m (No. 166, hexagonal axes)
One atom of each set of equivalent atoms:
Pr: 0.0000 0.0000 0.0000 x3  6 Al 3.29, 2 Er 3.61
Er: 0.0000 0.0000 0.1545 x6  1 Al 2.98, 3 Er 3.11
Er: 0.0000 0.0000 0.4210 x6  4 Al 3.18-3.25, 3 Er 3.44
Al: 0.0000 0.0000 0.2820 x6  5 Er 2.98-3.25, 3 Pr 3.29

- Energy above the lowest structure with this stoichiometry: 0.0 meV/atom
- Raw total energy: -95.82 eV for the cell shown
- Formation enthalpy at 0 K: -0.20 eV/atom
- Volume: 27.08 A^3/atom
- ρ: 7.567 g/cm3
- Fermi-level density of states: 16.20 states/eV/cell

***

Entry from the Alexandria database: a geometry-optimized Pr2ErAl3 structure (PBE-GGA).

abc: 14.3968 9.6338 4.8539
angles: 90.00 90.00 90.00
Last column: nearest neighbours and their distance in Å.
Space group Cmcm (No. 63)
One atom of each set of equivalent atoms:
Pr: 0.1474 0.1822 0.2500 x8  7 Al 3.24-3.39
Er: 0.0000 0.3815 0.7500 x4  5 Al 2.98-3.09, 2 Er 3.33
Al: 0.0000 0.0720 0.7500 x4  2 Al 2.80, 1 Er 2.98
Al: 0.1810 0.5000 0.0000 x8  2 Al 2.43

- Energy above the lowest structure with this stoichiometry: 196.7 meV/atom
- Raw total energy: -105.20 eV for the cell shown
- Formation enthalpy at 0 K: -0.16 eV/atom
- Volume: 28.05 A^3/atom
- ρ: 5.229 g/cm3
- Fermi-level density of states: 24.02 states/eV/cell

***

Entry from the Alexandria database: a geometry-optimized PrErAl2 structure (PBE-GGA).

abc: 7.3323 7.3323 7.3323
angles: 90.00 90.00 90.00
Last column: nearest neighbours and their distance in Å.
Space group Fm-3m (No. 225)
One atom of each set of equivalent atoms:
Pr: 0.0000 0.0000 0.0000 x4  8 Al 3.17
Er: 0.0000 0.0000 0.5000 x4  8 Al 3.17
Al: 0.2500 0.2500 0.2500 x8  4 Pr 3.17, 4 Er 3.17

- Energy above the lowest structure with this stoichiometry: 16.5 meV/atom
- Raw total energy: -73.00 eV for the cell shown
- Formation enthalpy at 0 K: -0.36 eV/atom
- Volume: 24.64 A^3/atom
- ρ: 6.102 g/cm3
- Fermi-level density of states: 6.01 states/eV/cell

***

Entry from the Alexandria database: a geometry-optimized PrErAl2 structure (PBE-GGA).

abc: 3.6671 3.6671 7.2932
angles: 90.00 90.00 90.00
Last column: nearest neighbours and their distance in Å.
Space group P4/mmm (No. 123)
One atom of each set of equivalent atoms:
Pr: 0.0000 0.0000 0.0000 x1  8 Al 3.26, 2 Er 3.65
Er: 0.0000 0.0000 0.5000 x1  8 Al 3.08
Al: 0.5000 0.5000 0.2712 x2  4 Er 3.08, 4 Pr 3.26, 1 Al 3.34

- Energy above the lowest structure with this stoichiometry: 0.0 meV/atom
- Raw total energy: -18.32 eV for the cell shown
- Formation enthalpy at 0 K: -0.37 eV/atom
- Volume: 24.52 A^3/atom
- ρ: 6.131 g/cm3
- Fermi-level density of states: 1.52 states/eV/cell

***

Entry from the Alexandria database: a geometry-optimized PrEr3Al8 structure (PBE-GGA).

abc: 5.5665 5.5665 27.4510
angles: 90.00 90.00 120.00
Last column: nearest neighbours and their distance in Å.
Space group R3m (No. 160, hexagonal axes)
One atom of each set of equivalent atoms:
Pr: 0.0000 0.0000 0.0000 x3  12 Al 3.27-3.31, 4 Er 3.42-3.44
Er: 0.0000 0.0000 0.3758 x3  12 Al 3.27-3.34, 1 Er 3.39, 3 Pr 3.42
Er: 0.0000 0.0000 0.4993 x3  12 Al 3.24-3.27, 4 Er 3.39-3.41
Er: 0.0000 0.0000 0.8746 x3  12 Al 3.24-3.26, 3 Er 3.41, 1 Pr 3.44
Al: 0.0000 0.0000 0.1870 x3  6 Al 2.76-2.77
Al: 0.0000 0.0000 0.6879 x3  6 Al 2.81-2.84
Al: 0.0011 0.5006 0.4386 x9  6 Al 2.76-2.81
Al: 0.1670 0.3340 0.2693 x9  6 Al 2.77-2.84

- Energy above the lowest structure with this stoichiometry: 0.0 meV/atom
- Raw total energy: -163.07 eV for the cell shown
- Formation enthalpy at 0 K: -0.50 eV/atom
- Volume: 20.46 A^3/atom
- ρ: 5.806 g/cm3
- Fermi-level density of states: 30.73 states/eV/cell

***

Entry from the Alexandria database: a geometry-optimized PrEr2Al structure (PBE-GGA).

abc: 4.8068 4.8068 4.7836
angles: 90.00 90.00 90.00
Last column: nearest neighbours and their distance in Å.
Space group P4/mmm (No. 123)
One atom of each set of equivalent atoms:
Pr: 0.0000 0.0000 0.0000 x1  8 Er 3.39, 4 Al 3.40
Er: 0.0000 0.5000 0.5000 x2  4 Al 3.39, 4 Pr 3.39, 4 Er 3.40
Al: 0.5000 0.5000 0.0000 x1  8 Er 3.39, 4 Pr 3.40

- Energy above the lowest structure with this stoichiometry: 32.4 meV/atom
- Raw total energy: -18.31 eV for the cell shown
- Formation enthalpy at 0 K: -0.17 eV/atom
- Volume: 27.63 A^3/atom
- ρ: 7.548 g/cm3
- Fermi-level density of states: 5.20 states/eV/cell